Record 1
# Tb5Hg2Pt (GGA-PBE, optimized geometry)
data_Tb5Hg2Pt
_space_group_name_H-M_alt 'P 1'
_space_group_IT_number 1
_cell_length_a 5.718
_cell_length_b 6.932
_cell_length_c 12.607
_cell_angle_alpha 90.00
_cell_angle_beta 90.00
_cell_angle_gamma 114.36
loop_
_space_group_symop_operation_xyz
'x,y,z'
loop_
_atom_site_label
_atom_site_type_symbol
_atom_site_fract_x
_atom_site_fract_y
_atom_site_fract_z
Hg1 Hg 0.181 0.361 0.624
Hg2 Hg 0.181 0.361 0.876
Hg3 Hg 0.819 0.639 0.124
Hg4 Hg 0.819 0.639 0.376
Pt1 Pt 0.766 0.531 0.750
Pt2 Pt 0.234 0.469 0.250
Tb1 Tb 0.621 0.243 0.932
Tb2 Tb 0.621 0.243 0.568
Tb3 Tb 0.615 0.230 0.250
Tb4 Tb 0.932 0.863 0.606
Tb5 Tb 0.379 0.757 0.432
Tb6 Tb 0.385 0.770 0.750
Tb7 Tb 0.068 0.137 0.394
Tb8 Tb 0.932 0.863 0.894
Tb9 Tb 0.379 0.757 0.068
Tb10 Tb 0.068 0.137 0.106
# Distance to the lowest polymorph of the same formula = 0.242 eV per atom
# ΔH_f (0 K) = -0.3388 eV per atom

***

Record 2
# Ba2PaRhO6 (GGA-PBE, optimized geometry)
data_Ba2PaRhO6
_space_group_name_H-M_alt 'P 1'
_space_group_IT_number 1
_cell_length_a 4.324
_cell_length_b 4.324
_cell_length_c 8.466
_cell_angle_alpha 90.00
_cell_angle_beta 90.00
_cell_angle_gamma 90.00
loop_
_space_group_symop_operation_xyz
'x,y,z'
loop_
_atom_site_label
_atom_site_type_symbol
_atom_site_fract_x
_atom_site_fract_y
_atom_site_fract_z
Ba1 Ba 0.000 0.000 0.710
Ba2 Ba 0.000 0.000 0.290
O1 O 0.500 0.000 0.500
O2 O 0.000 0.500 0.000
O3 O 0.500 0.500 0.254
O4 O 0.500 0.000 0.000
O5 O 0.000 0.500 0.500
O6 O 0.500 0.500 0.746
Rh1 Rh 0.500 0.500 0.500
Pa1 Pa 0.500 0.500 0.000
# Formation energy (no corrections) = -2567 meV per atom

***

Record 3
# PuBe2H8 (GGA-PBE, optimized geometry)
data_PuBe2H8
_space_group_name_H-M_alt 'P 1'
_space_group_IT_number 1
_cell_length_a 4.103
_cell_length_b 4.102
_cell_length_c 5.745
_cell_angle_alpha 110.99
_cell_angle_beta 90.00
_cell_angle_gamma 120.00
loop_
_space_group_symop_operation_xyz
'x,y,z'
loop_
_atom_site_label
_atom_site_type_symbol
_atom_site_fract_x
_atom_site_fract_y
_atom_site_fract_z
H1 H 0.132 0.264 0.398
H2 H 0.868 0.736 0.602
H3 H 0.554 0.639 0.193
H4 H 0.446 0.361 0.807
H5 H 0.554 0.109 0.193
H6 H 0.085 0.639 0.193
H7 H 0.915 0.361 0.807
H8 H 0.446 0.891 0.807
Pu1 Pu 0.000 0.000 0.000
Be1 Be 0.222 0.445 0.669
Be2 Be 0.778 0.555 0.331
# E_tot = -4.51 eV/atom

***

Record 4
# CeNd2Ga3 (GGA-PBE, optimized geometry)
data_CeNd2Ga3
_space_group_name_H-M_alt 'P 1'
_space_group_IT_number 1
_cell_length_a 3.660
_cell_length_b 3.660
_cell_length_c 11.161
_cell_angle_alpha 90.00
_cell_angle_beta 90.00
_cell_angle_gamma 90.00
loop_
_space_group_symop_operation_xyz
'x,y,z'
loop_
_atom_site_label
_atom_site_type_symbol
_atom_site_fract_x
_atom_site_fract_y
_atom_site_fract_z
Ga1 Ga 0.000 0.000 0.334
Ga2 Ga 0.000 0.000 0.000
Ga3 Ga 0.000 0.000 0.666
Nd1 Nd 0.500 0.500 0.167
Nd2 Nd 0.500 0.500 0.833
Ce1 Ce 0.500 0.500 0.500
# Distance to the lowest polymorph of the same formula = 0.000 eV per atom
# ΔH_f (0 K) = -0.5162 eV per atom

***

Record 5
# Li3Pt3O8 (GGA-PBE, optimized geometry)
data_Li3Pt3O8
_space_group_name_H-M_alt 'P 1'
_space_group_IT_number 1
_cell_length_a 5.982
_cell_length_b 5.982
_cell_length_c 5.982
_cell_angle_alpha 62.49
_cell_angle_beta 62.49
_cell_angle_gamma 62.49
loop_
_space_group_symop_operation_xyz
'x,y,z'
loop_
_atom_site_label
_atom_site_type_symbol
_atom_site_fract_x
_atom_site_fract_y
_atom_site_fract_z
O1 O 0.237 0.237 0.237
O2 O 0.786 0.246 0.246
O3 O 0.246 0.246 0.786
O4 O 0.214 0.754 0.754
O5 O 0.763 0.763 0.763
O6 O 0.246 0.786 0.246
O7 O 0.754 0.214 0.754
O8 O 0.754 0.754 0.214
Pt1 Pt 0.000 0.000 0.500
Pt2 Pt 0.000 0.500 0.000
Pt3 Pt 0.500 0.000 0.000
Li1 Li 0.610 0.610 0.610
Li2 Li 0.000 0.000 0.000
Li3 Li 0.390 0.390 0.390
# Formation energy (no corrections) = -1041 meV per atom

***

Record 6
# BaBeRh2 (GGA-PBE, optimized geometry)
data_BaBeRh2
_space_group_name_H-M_alt 'P 1'
_space_group_IT_number 1
_cell_length_a 5.439
_cell_length_b 5.439
_cell_length_c 3.077
_cell_angle_alpha 74.74
_cell_angle_beta 74.74
_cell_angle_gamma 112.53
loop_
_space_group_symop_operation_xyz
'x,y,z'
loop_
_atom_site_label
_atom_site_type_symbol
_atom_site_fract_x
_atom_site_fract_y
_atom_site_fract_z
Rh1 Rh 0.000 0.000 0.000
Rh2 Rh 0.500 0.500 0.000
Be1 Be 0.000 0.500 0.500
Ba1 Ba 0.500 0.000 0.500
# ΔH_f (0 K) = 0.5770 eV per atom